Entry from Alexandria via LeMat-Bulk: crystalline Hg2SeBrN at its relaxed geometry (GGA-PBE).

a = 5.498 Å, b = 5.498 Å, c = 5.819 Å
α = 90.00°, β = 90.00°, γ = 90.00°
Positions (direct):
Hg1 0.000 0.500 0.000
Hg2 0.500 0.000 0.000
Se1 0.000 0.000 0.000
Br1 0.000 0.000 0.500
N1 0.500 0.500 0.500

Total moment: 2.87 μB per cell
V: 175.9 Å³/f.u.
ρ: 5.4 g/cm3
Formation energy (no corrections): 1.03 eV/atom